(1)
## LiHg4F10 (GGA-PBE)

Data for LiHg4F10 after structural relaxation.

Unit cell a=4.1466 b=4.1466 c=43.6892 alpha=90.00 beta=90.00 gamma=120.00
Space group R-3m (No. 166, hexagonal axes)
One atom of each set of equivalent atoms:
Li1 0.0000 0.0000 0.0000 x3
Hg1 0.0000 0.0000 0.2017 x6
Hg2 0.0000 0.0000 0.3946 x6
F1 0.0000 0.0000 0.0464 x6
F2 0.0000 0.0000 0.1498 x6
F3 0.0000 0.0000 0.2527 x6
F4 0.0000 0.0000 0.3464 x6
F5 0.0000 0.0000 0.4456 x6

(2)
## LiHg6F12 (GGA-PBE)

Data for LiHg6F12 after structural relaxation.

Unit cell a=10.3459 b=10.3459 c=9.6889 alpha=90.00 beta=90.00 gamma=120.00
Space group R-3 (No. 148, hexagonal axes)
One atom of each set of equivalent atoms:
Li1 0.0000 0.0000 0.0000 x3
Hg1 0.0562 0.2670 0.6578 x18
F1 0.0374 0.2210 0.3992 x18
F2 0.0384 0.1983 0.8925 x18

Here are the calculated electronic total energy numbers, same order: -2.959 -2.917 (eV/atom).
Here are the calculated energy relative to the elements, uncorrected numbers, same order: -1.503 -1.539 (eV per atom).